1.
This record from Alexandria describes an optimized crystal structure of ZnNiPt2Cl. The functional is GGA-PBE.

abc: 4.536 4.536 4.592
angles: 90.00 90.00 90.00
Space group P4/mmm (No. 123)
Inequivalent atoms, fractional coordinates:
Zn: 0.000 0.000 0.000 [1 per cell]
Ni: 0.500 0.500 0.000 [1 per cell]
Pt: 0.000 0.500 0.500 [2 per cell]
Cl: 0.000 0.000 0.500 [1 per cell]

Summary:
The calculation puts the total DFT energy (no corrections) at -15.3 eV per formula unit. For the calculated density, the calculation gives 9.661 Mg/m³. The value obtained for the energy relative to the elements, uncorrected is 1.141 eV per atom. The magnetization comes out at 0.11 μB per atom.



2.
This record from Alexandria describes an optimized crystal structure of DyHgPdAu. The functional is GGA-PBE.

abc: 6.895 6.895 6.895
angles: 90.00 90.00 90.00
Space group F-43m (No. 216)
Inequivalent atoms, fractional coordinates:
Dy: 0.000 0.000 0.000 [4 per cell]
Hg: 0.000 0.000 0.500 [4 per cell]
Pd: 0.250 0.250 0.750 [4 per cell]
Au: 0.250 0.250 0.250 [4 per cell]

Summary:
The calculation puts the total DFT energy (no corrections) at -15.9 eV per formula unit. The value obtained for the energy relative to the elements is -0.62 eV/atom. For the calculated density, the calculation gives 13.504 Mg/m³. The magnetization comes out at 0.00 μB per atom.



3.
This record from Alexandria describes an optimized crystal structure of EuPH5CO7. The functional is GGA-PBE.

abc: 6.713 7.093 7.694
angles: 70.24 84.26 89.12
Space group P-1 (No. 2)
Inequivalent atoms, fractional coordinates:
Eu: 0.133 0.224 0.061 [2 per cell]
P: 0.326 0.742 0.018 [2 per cell]
H: 0.172 0.516 0.673 [2 per cell]
H: 0.286 0.330 0.632 [2 per cell]
H: 0.378 0.704 0.199 [2 per cell]
H: 0.442 0.833 0.445 [2 per cell]
H: 0.463 0.242 0.367 [2 per cell]
C: 0.069 0.911 0.500 [2 per cell]
O: 0.058 0.761 0.647 [2 per cell]
O: 0.181 0.933 0.352 [2 per cell]
O: 0.182 0.572 0.023 [2 per cell]
O: 0.200 0.935 0.964 [2 per cell]
O: 0.202 0.372 0.726 [2 per cell]
O: 0.438 0.228 0.499 [2 per cell]
O: 0.479 0.238 0.109 [2 per cell]

Summary:
The calculation puts the total DFT energy (no corrections) at -99.6 eV per formula unit. For the calculated density, the calculation gives 3.021 Mg/m³. The magnetization comes out at 0.40 μB per atom.



4.
This record from Alexandria describes an optimized crystal structure of TiMnSb3. The functional is GGA-PBE.

abc: 5.040 5.040 5.040
angles: 90.00 90.00 90.00
Space group Pm-3m (No. 221)
Inequivalent atoms, fractional coordinates:
Ti: 0.000 0.000 0.000 [1 per cell]
Mn: 0.500 0.500 0.500 [1 per cell]
Sb: 0.000 0.500 0.500 [3 per cell]

Summary:
The calculation puts the total DFT energy (no corrections) at -26.6 eV per formula unit. For the calculated density, the calculation gives 6.073 Mg/m³. The value obtained for the energy relative to the elements, uncorrected is 0.567 eV per atom. The magnetization comes out at 0.97 μB per atom.



5.
This record from Alexandria describes an optimized crystal structure of Li6Ca2Al. The functional is GGA-PBE.

abc: 5.9116 5.9116 6.9243
angles: 90.00 90.00 120.00
Space group P-3m1 (No. 164)
Inequivalent atoms, fractional coordinates:
Li: 0.1688 0.3376 0.1634 [6 per cell]
Ca: 0.3333 0.6667 0.6132 [2 per cell]
Al: 0.0000 0.0000 0.5000 [1 per cell]

Summary:
The calculation puts the total DFT energy (no corrections) at -19.5 eV per formula unit. The value obtained for the energy relative to the elements is -0.04 eV/atom. For the calculated density, the calculation gives 1.179 Mg/m³. The magnetization comes out at 0.00 μB per atom.



6.
This record from Alexandria describes an optimized crystal structure of PmCd12Hg6. The functional is GGA-PBE.

abc: 11.1756 11.1756 13.3537
angles: 90.00 90.00 120.00
Space group R-3 (No. 148, hexagonal axes)
Inequivalent atoms, fractional coordinates:
Pm: 0.0000 0.0000 0.0000 [3 per cell]
Cd: 0.0957 0.9031 0.7890 [18 per cell]
Cd: 0.0998 0.8994 0.3984 [18 per cell]
Hg: 0.0281 0.5137 0.7392 [18 per cell]

Summary:
The calculation puts the total DFT energy (no corrections) at -18.2 eV per formula unit. The value obtained for the energy relative to the elements is -0.03 eV/atom. For the calculated density, the calculation gives 9.304 Mg/m³. The magnetization comes out at 0.00 μB per atom.



7.
This record from Alexandria describes an optimized crystal structure of LaTc3Pt. The functional is GGA-PBE.

abc: 4.823 4.823 4.823
angles: 90.00 90.00 90.00
Space group Pm-3m (No. 221)
Inequivalent atoms, fractional coordinates:
La: 0.000 0.000 0.000 [1 per cell]
Tc: 0.000 0.500 0.500 [3 per cell]
Pt: 0.500 0.500 0.500 [1 per cell]

Summary:
The calculation puts the total DFT energy (no corrections) at -36.3 eV per formula unit. The value obtained for the energy relative to the elements is 1.16 eV/atom. For the calculated density, the calculation gives 9.292 Mg/m³. The magnetization comes out at 0.00 μB per atom.



8.
This record from Alexandria describes an optimized crystal structure of BaNa2ErF8. The functional is GGA-PBE.

abc: 5.689 5.689 11.682
angles: 90.00 90.00 90.00
Space group I-4m2 (No. 119)
Inequivalent atoms, fractional coordinates:
Ba: 0.000 0.000 0.000 [2 per cell]
Na: 0.000 0.000 0.500 [2 per cell]
Na: 0.000 0.500 0.750 [2 per cell]
Er: 0.000 0.500 0.250 [2 per cell]
F: 0.223 0.260 0.363 [16 per cell]

Summary:
The calculation puts the total DFT energy (no corrections) at -62.9 eV per formula unit. For the calculated density, the calculation gives 4.415 Mg/m³. The value obtained for the energy relative to the elements, uncorrected is -3.230 eV per atom. The magnetization comes out at 0.09 μB per atom.



9.
This record from Alexandria describes an optimized crystal structure of BeAsRu. The functional is GGA-PBE.

abc: 5.448 5.448 5.448
angles: 90.00 90.00 90.00
Space group F-43m (No. 216)
Inequivalent atoms, fractional coordinates:
Be: 0.000 0.000 0.000 [4 per cell]
As: 0.250 0.250 0.750 [4 per cell]
Ru: 0.250 0.250 0.250 [4 per cell]

Summary:
The calculation puts the total DFT energy (no corrections) at -17.3 eV per formula unit. The value obtained for the energy relative to the elements is 0.13 eV/atom. For the calculated density, the calculation gives 7.599 Mg/m³. The magnetization comes out at 0.00 μB per atom.



10.
This record from Alexandria describes an optimized crystal structure of SnH10C3NCl3. The functional is GGA-PBE.

abc: 9.786 8.519 12.636
angles: 90.00 90.00 90.00
Space group Cmc2_1 (No. 36)
Inequivalent atoms, fractional coordinates:
Sn: 0.000 0.049 0.000 [4 per cell]
H: 0.000 0.314 0.705 [4 per cell]
H: 0.000 0.345 0.159 [4 per cell]
H: 0.092 0.411 0.600 [8 per cell]
H: 0.125 0.309 0.318 [8 per cell]
H: 0.127 0.482 0.837 [8 per cell]
H: 0.216 0.432 0.227 [8 per cell]
C: 0.000 0.414 0.650 [4 per cell]
C: 0.126 0.423 0.279 [8 per cell]
N: 0.000 0.438 0.213 [4 per cell]
Cl: 0.000 0.028 0.201 [4 per cell]
Cl: 0.184 0.260 0.004 [8 per cell]

Summary:
The calculation puts the total DFT energy (no corrections) at -86.8 eV per formula unit. For the calculated density, the calculation gives 1.798 Mg/m³. The magnetization comes out at 0.00 μB per atom.



11.
This record from Alexandria describes an optimized crystal structure of La2HfScO. The functional is GGA-PBE.

abc: 5.318 5.318 4.246
angles: 90.00 90.00 90.00
Space group P4/mmm (No. 123)
Inequivalent atoms, fractional coordinates:
La: 0.000 0.500 0.000 [2 per cell]
Hf: 0.000 0.000 0.500 [1 per cell]
Sc: 0.500 0.500 0.500 [1 per cell]
O: 0.000 0.000 0.000 [1 per cell]

Summary:
The calculation puts the total DFT energy (no corrections) at -36.5 eV per formula unit. For the calculated density, the calculation gives 7.153 Mg/m³. The value obtained for the energy relative to the elements, uncorrected is -1.085 eV per atom. The magnetization comes out at 0.00 μB per atom.